1.
VASP calculation (PBE) on a relaxed structure of LiDy8C4.

Unit cell a=3.604 b=9.184 c=9.207 alpha=87.30 beta=78.71 gamma=78.68
Positions (direct):
1 C 0.671 0.168 0.489
2 C 0.360 0.835 0.445
3 C 0.192 0.482 0.134
4 C 0.839 0.521 0.800
5 Dy 0.173 0.301 0.353
6 Dy 0.472 0.381 0.674
7 Dy 0.858 0.702 0.581
8 Dy 0.825 0.343 0.007
9 Dy 0.863 0.966 0.308
10 Dy 0.559 0.622 0.260
11 Dy 0.169 0.037 0.625
12 Dy 0.207 0.660 0.926
13 Li 0.515 0.002 0.967

The crystal system is monoclinic. Its density of states at the Fermi level is 10.708 states/eV per cell. The energy of formation from the pure elements is -190 meV per atom. The calculation puts the density at 7.68 g/cm3.

2.
VASP calculation (PBE) on a relaxed structure of LaN2ClF.

Unit cell a=3.914 b=3.914 c=4.508 alpha=90.00 beta=90.00 gamma=90.00
Positions (direct):
1 N 0.000 0.500 0.000
2 N 0.500 0.000 0.000
3 Cl 0.000 0.000 0.000
4 La 0.500 0.500 0.500
5 F 0.000 0.000 0.500

The crystal system is tetragonal. The energy relative to the lowest polymorph listed for this composition comes out at 180 meV per atom. Its density of states at the Fermi level is 3.950 states/eV per cell. The calculation puts the density at 5.32 g/cm3. The uncorrected formation energy comes out at 0.554 eV per formula unit.

3.
VASP calculation (PBE) on a relaxed structure of DyThCo4.

Unit cell a=3.946 b=3.928 c=6.792 alpha=90.00 beta=90.00 gamma=90.00
Site moments in Bohr magnetons follow the coordinates.
Positions (direct):
1 Co 0.499 0.497 0.667  0.48
2 Co 0.499 0.497 0.330  0.48
3 Co 0.499 0.997 0.832  0.50
4 Co 0.499 0.997 0.165  0.50
5 Th 0.999 0.997 0.498  -0.12
6 Dy 0.999 0.497 0.998  -0.12

The crystal system is orthorhombic. The energy relative to the lowest polymorph listed for this composition comes out at 0 meV per atom. Its density of states at the Fermi level is 7.336 states/eV per cell. The energy of formation from the pure elements is -202 meV per atom. The calculation puts the density at 9.94 g/cm3.

4.
VASP calculation (PBE) on a relaxed structure of ScTlSn2Br8.

Unit cell a=7.213 b=6.688 c=9.096 alpha=89.96 beta=85.91 gamma=87.70
Positions (direct):
1 Br 0.864 0.252 0.217
2 Br 0.692 0.780 0.026
3 Br 0.840 0.225 0.802
4 Br 0.308 0.220 0.974
5 Br 0.136 0.748 0.783
6 Br 0.632 0.730 0.476
7 Br 0.368 0.270 0.524
8 Br 0.160 0.775 0.198
9 Sn 0.477 0.489 0.755
10 Sn 0.523 0.511 0.245
11 Tl 0.000 0.000 0.500
12 Sc 0.000 0.000 0.000

The crystal system is triclinic. Its density of states at the Fermi level is 0.000 states/eV per cell. The calculation puts the density at 4.28 g/cm3. The uncorrected formation energy comes out at -12.727 eV per formula unit.

5.
VASP calculation (PBE) on a relaxed structure of BeGeAs2.

Unit cell a=4.578 b=4.578 c=4.578 alpha=60.00 beta=60.00 gamma=60.00
Positions (direct):
1 Be 0.000 0.000 0.000
2 Ge 0.500 0.500 0.500
3 As 0.250 0.250 0.250
4 As 0.750 0.750 0.750

The crystal system is cubic. Its density of states at the Fermi level is 1.959 states/eV per cell. The energy of formation from the pure elements is 537 meV per atom. The calculation puts the density at 5.67 g/cm3.

6.
VASP calculation (PBE) on a relaxed structure of LaEuAg2.

Unit cell a=3.823 b=3.823 c=7.646 alpha=90.00 beta=90.00 gamma=90.00
Site moments in Bohr magnetons follow the coordinates.
Positions (direct):
1 La 0.500 0.500 0.000  0.01
2 Ag 0.000 0.000 0.760  0.01
3 Ag 0.000 0.000 0.240  0.01
4 Eu 0.500 0.500 0.500  6.88

The crystal system is tetragonal. Its density of states at the Fermi level is 9.548 states/eV per cell. The energy of formation from the pure elements is -280 meV per atom. The calculation puts the density at 7.53 g/cm3.

7.
VASP calculation (PBE) on a relaxed structure of CoCu2Mo.

Unit cell a=2.681 b=2.681 c=7.034 alpha=90.00 beta=90.00 gamma=89.98
Site moments in Bohr magnetons follow the coordinates.
Positions (direct):
1 Cu 0.000 0.000 0.994  0.01
2 Cu 0.500 0.500 0.232  0.00
3 Mo 0.000 0.000 0.517  0.01
4 Co 0.500 0.500 0.757  0.23

The crystal system is tetragonal. The energy relative to the lowest polymorph listed for this composition comes out at 0 meV per atom. Its density of states at the Fermi level is 3.972 states/eV per cell. The energy of formation from the pure elements is 155 meV per atom. The calculation puts the density at 9.26 g/cm3.